Compound: ErFe2F8
Source: Alexandria via LeMat-Bulk
Functional: PBE+U
Structure: relaxed

Output
For the total energy, the calculation gives -5.7566 eV per atom. Its space-group type is C2/m (12).

```
11
Lattice="-3.515 3.785 0.378 -0.476 -2.356 4.978 4.079 2.061 3.109" Properties=species:S:1:pos:R:3 pbc="T T T"
Er 0.000 0.000 0.000
Fe 0.907 1.405 5.533
Fe -0.819 2.084 2.931
F 2.621 2.267 4.737
F 0.196 3.868 2.609
F 2.210 0.573 6.742
F -2.122 2.917 1.723
F -0.108 -0.379 5.856
F -2.533 1.222 3.728
F -0.533 2.624 4.906
F 0.621 0.865 3.559
```